[1]
A geometry-optimized Ac8GaSb5 structure, computed with GGA-PBE.

The structure in CIF format:
```
data_Ac8GaSb5
_cell_length_a 8.707
_cell_length_b 8.707
_cell_length_c 8.707
_cell_angle_alpha 109.85
_cell_angle_beta 108.71
_cell_angle_gamma 109.85
_symmetry_space_group_name_H-M 'P 1'
_symmetry_Int_Tables_number 1
loop_
_symmetry_equiv_pos_as_xyz
'x,y,z'
loop_
_atom_site_label
_atom_site_type_symbol
_atom_site_fract_x
_atom_site_fract_y
_atom_site_fract_z
Ac1 Ac 0.769 0.249 0.377
Ac2 Ac 0.264 0.256 0.384
Ac3 Ac 0.480 0.608 0.231
Ac4 Ac 0.127 0.751 0.520
Ac5 Ac 0.128 0.744 0.008
Ac6 Ac 0.623 0.392 0.873
Ac7 Ac 0.992 0.120 0.736
Ac8 Ac 0.616 0.880 0.872
Sb1 Sb 0.994 0.371 0.125
Sb2 Sb 0.875 0.870 0.247
Sb3 Sb 0.377 0.130 0.006
Sb4 Sb 0.753 0.629 0.623
Sb5 Sb 0.500 0.000 0.500
Ga1 Ga 0.250 0.500 0.750
```

Output
- E_form (uncorrected) (eV/atom) = -0.913
- crystal system = tetragonal

***

[2]
A geometry-optimized LiB2C2 structure, computed with GGA-PBE.

The structure in CIF format:
```
data_LiB2C2
_cell_length_a 7.171
_cell_length_b 7.171
_cell_length_c 8.609
_cell_angle_alpha 123.46
_cell_angle_beta 123.46
_cell_angle_gamma 21.72
_symmetry_space_group_name_H-M 'P 1'
_symmetry_Int_Tables_number 1
loop_
_symmetry_equiv_pos_as_xyz
'x,y,z'
loop_
_atom_site_label
_atom_site_type_symbol
_atom_site_fract_x
_atom_site_fract_y
_atom_site_fract_z
C1 C 0.029 0.029 0.758
C2 C 0.685 0.685 0.731
C3 C 0.358 0.358 0.746
C4 C 0.982 0.982 0.269
C5 C 0.638 0.638 0.242
C6 C 0.309 0.309 0.254
B1 B 0.473 0.473 0.758
B2 B 0.537 0.537 0.269
B3 B 0.869 0.869 0.261
B4 B 0.797 0.797 0.739
B5 B 0.194 0.194 0.242
B6 B 0.129 0.129 0.731
Li1 Li 0.989 0.989 0.003
Li2 Li 0.678 0.678 0.997
Li3 Li 0.833 0.833 0.500
```

Output
- crystal system = monoclinic
- energy above the lowest structure with this stoichiometry (meV/atom) = 45

***

[3]
A geometry-optimized PaTaOs structure, computed with GGA-PBE.

The structure in CIF format:
```
data_PaTaOs
_cell_length_a 3.133
_cell_length_b 3.133
_cell_length_c 6.416
_cell_angle_alpha 104.13
_cell_angle_beta 104.13
_cell_angle_gamma 90.00
_symmetry_space_group_name_H-M 'P 1'
_symmetry_Int_Tables_number 1
loop_
_symmetry_equiv_pos_as_xyz
'x,y,z'
loop_
_atom_site_label
_atom_site_type_symbol
_atom_site_fract_x
_atom_site_fract_y
_atom_site_fract_z
Ta1 Ta 0.308 0.308 0.617
Pa1 Pa 0.007 0.007 0.015
Os1 Os 0.684 0.684 0.368
```

Output
- crystal system = tetragonal
- energy above the lowest structure with this stoichiometry (meV/atom) = 72

***

[4]
A geometry-optimized Sc2TcMo2 structure, computed with GGA-PBE.

The structure in CIF format:
```
data_Sc2TcMo2
_cell_length_a 6.405
_cell_length_b 6.405
_cell_length_c 4.668
_cell_angle_alpha 90.00
_cell_angle_beta 90.00
_cell_angle_gamma 90.00
_symmetry_space_group_name_H-M 'P 1'
_symmetry_Int_Tables_number 1
loop_
_symmetry_equiv_pos_as_xyz
'x,y,z'
loop_
_atom_site_label
_atom_site_type_symbol
_atom_site_fract_x
_atom_site_fract_y
_atom_site_fract_z
Tc1 Tc 0.000 0.000 0.000
Tc2 Tc 0.500 0.500 0.000
Mo1 Mo 0.363 0.863 0.000
Mo2 Mo 0.137 0.363 0.000
Mo3 Mo 0.637 0.137 0.000
Mo4 Mo 0.863 0.637 0.000
Sc1 Sc 0.673 0.827 0.500
Sc2 Sc 0.173 0.673 0.500
Sc3 Sc 0.327 0.173 0.500
Sc4 Sc 0.827 0.327 0.500
```

Output
- crystal system = tetragonal

***

[5]
A geometry-optimized Tb2SO2 structure, computed with GGA-PBE.

The structure in CIF format:
```
data_Tb2SO2
_cell_length_a 4.094
_cell_length_b 6.445
_cell_length_c 9.018
_cell_angle_alpha 114.94
_cell_angle_beta 90.00
_cell_angle_gamma 108.52
_symmetry_space_group_name_H-M 'P 1'
_symmetry_Int_Tables_number 1
loop_
_symmetry_equiv_pos_as_xyz
'x,y,z'
loop_
_atom_site_label
_atom_site_type_symbol
_atom_site_fract_x
_atom_site_fract_y
_atom_site_fract_z
Tb1 Tb 0.490 0.980 0.213
Tb2 Tb 0.164 0.327 0.570
Tb3 Tb 0.510 0.020 0.787
Tb4 Tb 0.836 0.673 0.430
O1 O 0.658 0.316 0.472
O2 O 0.975 0.950 0.318
O3 O 0.025 0.050 0.682
O4 O 0.342 0.684 0.528
S1 S 0.337 0.674 0.886
S2 S 0.663 0.326 0.114
```

Output
- E_form (uncorrected) (eV/atom) = -2.981
- crystal system = monoclinic

***

[6]
A geometry-optimized Cs3Pm2PrSe6 structure, computed with GGA-PBE.

The structure in CIF format:
```
data_Cs3Pm2PrSe6
_cell_length_a 7.612
_cell_length_b 7.612
_cell_length_c 8.784
_cell_angle_alpha 98.30
_cell_angle_beta 98.30
_cell_angle_gamma 120.00
_symmetry_space_group_name_H-M 'P 1'
_symmetry_Int_Tables_number 1
loop_
_symmetry_equiv_pos_as_xyz
'x,y,z'
loop_
_atom_site_label
_atom_site_type_symbol
_atom_site_fract_x
_atom_site_fract_y
_atom_site_fract_z
Se1 Se 0.273 0.273 0.810
Se2 Se 0.400 0.063 0.190
Se3 Se 0.727 0.727 0.190
Se4 Se 0.937 0.600 0.810
Se5 Se 0.600 0.937 0.810
Se6 Se 0.063 0.400 0.190
Pr1 Pr 0.000 0.000 0.000
Pm1 Pm 0.667 0.333 0.000
Pm2 Pm 0.333 0.667 0.000
Cs1 Cs 0.166 0.834 0.500
Cs2 Cs 0.834 0.166 0.500
Cs3 Cs 0.500 0.500 0.500
```

Output
- E_form (uncorrected) (eV/atom) = -1.730
- crystal system = monoclinic

***

[7]
A geometry-optimized ZrRe2Tc structure, computed with GGA-PBE.

The structure in CIF format:
```
data_ZrRe2Tc
_cell_length_a 4.531
_cell_length_b 4.531
_cell_length_c 3.175
_cell_angle_alpha 90.00
_cell_angle_beta 90.00
_cell_angle_gamma 90.00
_symmetry_space_group_name_H-M 'P 1'
_symmetry_Int_Tables_number 1
loop_
_symmetry_equiv_pos_as_xyz
'x,y,z'
loop_
_atom_site_label
_atom_site_type_symbol
_atom_site_fract_x
_atom_site_fract_y
_atom_site_fract_z
Tc1 Tc 0.500 0.000 0.500
Re1 Re 0.000 0.000 0.000
Re2 Re 0.500 0.500 0.000
Zr1 Zr 0.000 0.500 0.500
```

Output
- crystal system = tetragonal
- energy above the lowest structure with this stoichiometry (meV/atom) = 94

***

[8]
A geometry-optimized Cs6CdHg structure, computed with GGA-PBE.

The structure in CIF format:
```
data_Cs6CdHg
_cell_length_a 5.170
_cell_length_b 11.411
_cell_length_c 11.411
_cell_angle_alpha 96.99
_cell_angle_beta 90.00
_cell_angle_gamma 90.00
_symmetry_space_group_name_H-M 'P 1'
_symmetry_Int_Tables_number 1
loop_
_symmetry_equiv_pos_as_xyz
'x,y,z'
loop_
_atom_site_label
_atom_site_type_symbol
_atom_site_fract_x
_atom_site_fract_y
_atom_site_fract_z
Cd1 Cd 0.000 0.158 0.842
Hg1 Hg 0.500 0.257 0.743
Cs1 Cs 0.500 0.921 0.668
Cs2 Cs 0.500 0.930 0.070
Cs3 Cs 0.000 0.214 0.472
Cs4 Cs 0.500 0.332 0.079
Cs5 Cs 0.000 0.660 0.340
Cs6 Cs 0.000 0.528 0.786
```

Output
- crystal system = orthorhombic

***

no.,DOS(E_F) (states/eV/atom),electronic total energy (eV/atom)
1,1.13,-4.949
2,0.20,-6.768
3,0.94,-10.999
4,1.95,-8.817
5,0.00,-7.642
6,0.00,-4.876
7,0.69,-10.925
8,0.86,-0.856